Record 1
Compound: PmZr2Tc
Source: the Alexandria database
Functional: PBE
Structure: optimized geometry

Summary:
- DOS(E_F): 5.10 states/eV/f.u.
- Energy of formation: -10 kJ per mole of atoms
- Energy above the lowest structure with this stoichiometry: 0.0 meV/atom

Cell: 3.349 3.349 8.201 Å, 90.00 90.00 90.00°
Space group P4/mmm (No. 123)
Unique sites:
Pm1 0.000 0.000 0.000
Zr1 0.500 0.500 0.310
Tc1 0.000 0.000 0.500

Record 2
Compound: Pm2TlCuS4
Source: the Alexandria database
Functional: PBE
Structure: optimized geometry

Summary:
- Formation energy from raw total energies: -1.434 eV/atom

Cell: 4.051 13.916 13.990 Å, 90.00 90.00 90.00°
Space group Cmcm (No. 63)
Unique sites:
Pm1 0.000 0.134 0.062
Tl1 0.000 0.394 0.250
Cu1 0.000 0.336 0.750
S1 0.000 0.072 0.250
S2 0.000 0.238 0.613
S3 0.000 0.500 0.000

Record 3
Compound: HoICl2
Source: the Alexandria database
Functional: PBE
Structure: optimized geometry

Summary:
- DOS(E_F): 0.00 states/eV/f.u.
- Energy above the lowest structure with this stoichiometry: 49.1 meV/atom
- Formation energy from raw total energies: -1.908 eV/atom

Cell: 8.485 11.794 3.725 Å, 90.00 115.93 90.00°
Space group Cm (No. 8)
Unique sites:
Ho1 0.000 0.000 0.000
I1 0.188 0.500 0.189
Cl1 0.120 0.142 0.620

Record 4
Compound: Th2Bi2C
Source: the Alexandria database
Functional: PBE
Structure: optimized geometry

Summary:
- DOS(E_F): 2.22 states/eV/f.u.
- Energy of formation: -22 kJ per mole of atoms
- Energy above the lowest structure with this stoichiometry: 18.4 meV/atom

Cell: 6.383 6.394 13.594 Å, 90.00 100.15 90.00°
Space group C2/c (No. 15)
Unique sites:
Th1 0.240 0.060 0.167
Bi1 0.226 0.453 0.583
C1 0.000 0.141 0.750

Record 5
Compound: Pr4Nd3Sm
Source: the Alexandria database
Functional: PBE
Structure: optimized geometry

Summary:
- DOS(E_F): 13.27 states/eV/f.u.
- Energy of formation: 1 kJ per mole of atoms
- Energy above the lowest structure with this stoichiometry: 0.0 meV/atom

Cell: 10.452 7.379 7.378 Å, 90.00 90.00 90.00°
Space group Pmna (No. 53)
Unique sites:
Pr1 0.000 0.000 0.000
Pr2 0.000 0.500 0.500
Pr3 0.250 0.249 0.250
Nd1 0.000 0.500 0.000
Nd2 0.250 0.249 0.750
Sm1 0.000 0.000 0.500

Record 6
Compound: Cs4Pm3BiO8
Source: the Alexandria database
Functional: PBE
Structure: optimized geometry

Summary:
- DOS(E_F): 0.00 states/eV/f.u.
- Formation energy from raw total energies: -2.213 eV/atom

Cell: 7.3585 7.3585 20.8215 Å, 90.00 90.00 120.00°
Space group R-3m (No. 166, hexagonal axes)
Unique sites:
Cs1 0.0000 0.0000 0.0000
Cs2 0.0000 0.5000 0.0000
Pm1 0.0000 0.5000 0.5000
Bi1 0.0000 0.0000 0.5000
O1 0.0000 0.0000 0.2226
O2 0.0059 0.5030 0.7759